(1)
Entry from Alexandria via LeMat-Bulk: a relaxed Sc4InSbH crystal (GGA-PBE).

For the total moment, the calculation gives 2.98 Bohr magnetons per cell. The calculation puts the total energy at -5.652 eV/atom.

The space group is Cmcm (No. 63) and the conventional cell measures 6.013, 15.710 and 6.018 Å, with angles of 90.00, 90.00 and 90.00 degrees. The asymmetric unit holds Sc at (0.000, 0.074, 0.250), Sc at (0.000, 0.423, 0.250), Sc at (0.250, 0.250, 0.000), In at (0.000, 0.112, 0.750), Sb at (0.000, 0.389, 0.750) and H at (0.000, 0.286, 0.250).

=====

(2)
Entry from Alexandria via LeMat-Bulk: a relaxed YTeCl crystal (GGA-PBE).

The calculation puts the formation energy without anion corrections at -1.570 eV/atom. For the total moment, the calculation gives 0.00 Bohr magnetons per cell.

The space group is P-6m2 (No. 187) and the conventional cell measures 4.6821, 4.6821 and 4.2176 Å, with angles of 90.00, 90.00 and 120.00 degrees. The asymmetric unit holds Y at (0.0000, 0.0000, 0.0000), Te at (0.3333, 0.6667, 0.5000) and Cl at (0.6667, 0.3333, 0.0000).

=====

(3)
Entry from Alexandria via LeMat-Bulk: a relaxed Pm2Si6Ru crystal (GGA-PBE).

The calculation puts the formation energy without anion corrections at -0.508 eV/atom. For the total moment, the calculation gives 0.00 Bohr magnetons per cell.

The space group is P-3m1 (No. 164) and the conventional cell measures 5.7731, 5.7731 and 5.3685 Å, with angles of 90.00, 90.00 and 120.00 degrees. The asymmetric unit holds Pm at (0.3333, 0.6667, 0.1564), Si at (0.1789, 0.3578, 0.6731) and Ru at (0.0000, 0.0000, 0.0000).

=====

(4)
Entry from Alexandria via LeMat-Bulk: a relaxed InSbBr2 crystal (GGA-PBE).

The calculation puts the formation energy without anion corrections at 0.043 eV/atom. For the total moment, the calculation gives 0.00 Bohr magnetons per cell.

The space group is F-43m (No. 216) and the conventional cell measures 7.589, 7.589 and 7.589 Å, with angles of 90.00, 90.00 and 90.00 degrees. The asymmetric unit holds In at (0.000, 0.000, 0.000), Sb at (0.250, 0.250, 0.750), Br at (0.000, 0.000, 0.500) and Br at (0.250, 0.250, 0.250).

=====

(5)
Entry from Alexandria via LeMat-Bulk: a relaxed TbCeGa4 crystal (GGA-PBE).

The calculation puts the formation enthalpy at 0 K at -0.521 eV per atom. For the total moment, the calculation gives 3.42 Bohr magnetons per cell.

The space group is F-43m (No. 216) and the conventional cell measures 7.868, 7.868 and 7.868 Å, with angles of 90.00, 90.00 and 90.00 degrees. The asymmetric unit holds Tb at (0.000, 0.000, 0.000), Ce at (0.250, 0.250, 0.750) and Ga at (0.125, 0.125, 0.375).

=====

(6)
Entry from Alexandria via LeMat-Bulk: a relaxed PaCdPd4 crystal (GGA-PBE).

The calculation puts the formation enthalpy at 0 K at -0.367 eV per atom. For the total moment, the calculation gives 0.00 Bohr magnetons per cell.

The space group is Cmcm (No. 63) and the conventional cell measures 5.396, 13.704 and 6.050 Å, with angles of 90.00, 90.00 and 90.00 degrees. The asymmetric unit holds Pa at (0.000, 0.158, 0.250), Cd at (0.000, 0.183, 0.750), Pd at (0.000, 0.346, 0.007) and Pd at (0.246, 0.497, 0.250).

=====

(7)
Entry from Alexandria via LeMat-Bulk: a relaxed Sm6Ru2Pt crystal (GGA-PBE).

The calculation puts the formation enthalpy at 0 K at -0.417 eV per atom. For the total moment, the calculation gives 0.00 Bohr magnetons per cell.

The space group is Immm (No. 71) and the conventional cell measures 9.604, 9.630 and 10.133 Å, with angles of 90.00, 90.00 and 90.00 degrees. The asymmetric unit holds Sm at (0.000, 0.188, 0.250), Sm at (0.186, 0.500, 0.170), Sm at (0.230, 0.322, 0.500), Ru at (0.000, 0.325, 0.000), Ru at (0.000, 0.500, 0.377), Pt at (0.000, 0.000, 0.000) and Pt at (0.000, 0.000, 0.500).

=====

(8)
Entry from Alexandria via LeMat-Bulk: a relaxed Rb3Th3PtSe8 crystal (GGA-PBE).

The calculation puts the formation energy without anion corrections at -1.330 eV/atom. For the total moment, the calculation gives 0.00 Bohr magnetons per cell.

The space group is C2/m (No. 12) and the conventional cell measures 14.384, 8.815 and 9.291 Å, with angles of 90.00, 119.52 and 90.00 degrees. The asymmetric unit holds Rb at (0.000, 0.000, 0.000), Rb at (0.250, 0.250, 0.000), Th at (0.000, 0.500, 0.500), Th at (0.250, 0.250, 0.500), Pt at (0.000, 0.000, 0.500), Se at (0.024, 0.274, 0.295), Se at (0.202, 0.000, 0.668) and Se at (0.236, 0.500, 0.706).

=====

(9)
Entry from Alexandria via LeMat-Bulk: a relaxed SrSi2Br crystal (GGA-PBE).

The calculation puts the formation energy without anion corrections at -0.166 eV/atom. For the total moment, the calculation gives 0.00 Bohr magnetons per cell.

The space group is I4/mmm (No. 139) and the conventional cell measures 4.034, 4.034 and 12.725 Å, with angles of 90.00, 90.00 and 90.00 degrees. The asymmetric unit holds Sr at (0.000, 0.000, 0.000), Si at (0.000, 0.500, 0.250) and Br at (0.000, 0.000, 0.500).

=====

(10)
Entry from Alexandria via LeMat-Bulk: a relaxed ErHfU2As4 crystal (GGA-PBE).

The calculation puts the formation enthalpy at 0 K at -1.003 eV per atom. For the total moment, the calculation gives 4.84 Bohr magnetons per cell.

The space group is P2/m (No. 10) and the conventional cell measures 6.898, 3.981 and 7.037 Å, with angles of 90.00, 109.01 and 90.00 degrees. The asymmetric unit holds Er at (0.000, 0.000, 0.000), Hf at (0.500, 0.500, 0.000), U at (0.000, 0.500, 0.500), U at (0.500, 0.000, 0.500), As at (0.255, 0.500, 0.242) and As at (0.261, 0.000, 0.763).

=====

(11)
Entry from Alexandria via LeMat-Bulk: a relaxed Pr2ErInC crystal (GGA-PBE).

The calculation puts the formation enthalpy at 0 K at -0.349 eV per atom. For the total moment, the calculation gives 0.00 Bohr magnetons per cell.

The space group is P4/mmm (No. 123) and the conventional cell measures 5.192, 5.192 and 4.879 Å, with angles of 90.00, 90.00 and 90.00 degrees. The asymmetric unit holds Pr at (0.000, 0.500, 0.000), Er at (0.000, 0.000, 0.500), In at (0.500, 0.500, 0.500) and C at (0.000, 0.000, 0.000).

=====

(12)
Entry from Alexandria via LeMat-Bulk: a relaxed LiP2Os crystal (GGA-PBE).

The calculation puts the formation enthalpy at 0 K at -0.124 eV per atom. For the total moment, the calculation gives 0.00 Bohr magnetons per cell.

The space group is Amm2 (No. 38) and the conventional cell measures 4.520, 2.990 and 8.365 Å, with angles of 90.00, 90.00 and 90.00 degrees. The asymmetric unit holds Li at (0.000, 0.000, 0.000), P at (0.000, 0.000, 0.274), P at (0.500, 0.000, 0.662) and Os at (0.500, 0.000, 0.382).

=====

(13)
Entry from Alexandria via LeMat-Bulk: a relaxed PaTaS crystal (GGA-PBE).

The calculation puts the formation energy without anion corrections at -0.413 eV/atom. For the total moment, the calculation gives 0.00 Bohr magnetons per cell.

The space group is Cmcm (No. 63) and the conventional cell measures 3.368, 11.998 and 5.674 Å, with angles of 90.00, 90.00 and 90.00 degrees. The asymmetric unit holds Pa at (0.000, 0.000, 0.000), Ta at (0.000, 0.290, 0.250) and S at (0.000, 0.357, 0.750).

=====

(14)
Entry from Alexandria via LeMat-Bulk: a relaxed TbZnP2Rh5 crystal (GGA-PBE).

The calculation puts the formation enthalpy at 0 K at -0.592 eV per atom. For the total moment, the calculation gives 0.00 Bohr magnetons per cell.

The space group is P4/mmm (No. 123) and the conventional cell measures 4.071, 4.071 and 9.514 Å, with angles of 90.00, 90.00 and 90.00 degrees. The asymmetric unit holds Tb at (0.000, 0.000, 0.000), Zn at (0.000, 0.000, 0.500), P at (0.500, 0.500, 0.236), Rh at (0.000, 0.500, 0.338) and Rh at (0.500, 0.500, 0.000).

=====

(15)
Entry from Alexandria via LeMat-Bulk: a relaxed Ac5Sn2Pb2 crystal (GGA-PBE).

The calculation puts the formation enthalpy at 0 K at -0.639 eV per atom. For the total moment, the calculation gives 0.00 Bohr magnetons per cell.

The space group is Cmce (No. 64) and the conventional cell measures 17.158, 8.930 and 8.952 Å, with angles of 90.00, 90.00 and 90.00 degrees. The asymmetric unit holds Ac at (0.000, 0.000, 0.000), Ac at (0.138, 0.174, 0.330), Sn at (0.000, 0.123, 0.625) and Pb at (0.206, 0.000, 0.000).

=====

(16)
Entry from Alexandria via LeMat-Bulk: a relaxed Bi2H2Rh crystal (GGA-PBE).

For the total moment, the calculation gives 0.00 Bohr magnetons per cell. The calculation puts the total energy at -4.028 eV/atom.

The space group is I4/mmm (No. 139) and the conventional cell measures 3.432, 3.432 and 13.379 Å, with angles of 90.00, 90.00 and 90.00 degrees. The asymmetric unit holds Bi at (0.000, 0.000, 0.128), H at (0.000, 0.500, 0.250) and Rh at (0.000, 0.000, 0.500).

=====

(17)
Entry from Alexandria via LeMat-Bulk: a relaxed Cd3InPb12 crystal (GGA-PBE).

The calculation puts the formation enthalpy at 0 K at 0.025 eV per atom. For the total moment, the calculation gives 0.00 Bohr magnetons per cell.

The space group is P4/mmm (No. 123) and the conventional cell measures 4.894, 4.894 and 19.986 Å, with angles of 90.00, 90.00 and 90.00 degrees. The asymmetric unit holds Cd at (0.000, 0.000, 0.000), Cd at (0.000, 0.000, 0.249), In at (0.000, 0.000, 0.500), Pb at (0.000, 0.500, 0.124), Pb at (0.000, 0.500, 0.373), Pb at (0.500, 0.500, 0.000), Pb at (0.500, 0.500, 0.248) and Pb at (0.500, 0.500, 0.500).

=====

(18)
Entry from Alexandria via LeMat-Bulk: a relaxed HfSc4Pa crystal (GGA-PBE).

The calculation puts the formation enthalpy at 0 K at 0.090 eV per atom. For the total moment, the calculation gives 0.00 Bohr magnetons per cell.

The space group is C2/c (No. 15) and the conventional cell measures 6.363, 17.574 and 6.067 Å, with angles of 90.00, 120.85 and 90.00 degrees. The asymmetric unit holds Hf at (0.000, 0.027, 0.250), Sc at (0.245, 0.124, 0.737), Sc at (0.249, 0.199, 0.241) and Pa at (0.000, 0.465, 0.750).

=====

(19)
Entry from Alexandria via LeMat-Bulk: a relaxed NaAs2Pb crystal (GGA-PBE).

The calculation puts the formation enthalpy at 0 K at 0.091 eV per atom. For the total moment, the calculation gives 0.00 Bohr magnetons per cell.

The space group is R-3m (No. 166, hexagonal axes) and the conventional cell measures 3.9206, 3.9206 and 23.8143 Å, with angles of 90.00, 90.00 and 120.00 degrees. The asymmetric unit holds Na at (0.0000, 0.0000, 0.0000), As at (0.0000, 0.0000, 0.2430) and Pb at (0.0000, 0.0000, 0.5000).

=====

(20)
Entry from Alexandria via LeMat-Bulk: a relaxed Ac2NdSm4Tm crystal (GGA-PBE).

The calculation puts the formation enthalpy at 0 K at 0.397 eV per atom. For the total moment, the calculation gives 0.01 Bohr magnetons per cell.

The space group is Imma (No. 74) and the conventional cell measures 7.137, 12.150 and 13.708 Å, with angles of 90.00, 90.00 and 90.00 degrees. The asymmetric unit holds Ac at (0.000, 0.000, 0.000), Ac at (0.250, 0.250, 0.250), Nd at (0.000, 0.000, 0.500), Sm at (0.000, 0.017, 0.741), Sm at (0.236, 0.250, 0.515) and Tm at (0.250, 0.250, 0.750).

=====

(21)
Entry from Alexandria via LeMat-Bulk: a relaxed CeZn2Br6 crystal (GGA-PBE).

The calculation puts the formation energy without anion corrections at -1.103 eV/atom. For the total moment, the calculation gives 5.82 Bohr magnetons per cell.

The space group is R3 (No. 146, hexagonal axes) and the conventional cell measures 7.3438, 7.3438 and 22.2716 Å, with angles of 90.00, 90.00 and 120.00 degrees. The asymmetric unit holds Ce at (0.0000, 0.0000, 0.0000), Zn at (0.0000, 0.0000, 0.2770), Zn at (0.0000, 0.0000, 0.3897), Br at (0.0089, 0.3701, 0.7506) and Br at (0.0090, 0.6394, 0.5830).

=====

(22)
Entry from Alexandria via LeMat-Bulk: a relaxed KAsSBr2 crystal (GGA-PBE).

The calculation puts the formation energy without anion corrections at 0.796 eV/atom. For the total moment, the calculation gives 2.04 Bohr magnetons per cell.

The space group is P4/mmm (No. 123) and the conventional cell measures 5.945, 5.945 and 6.828 Å, with angles of 90.00, 90.00 and 90.00 degrees. The asymmetric unit holds K at (0.000, 0.000, 0.000), As at (0.000, 0.000, 0.500), S at (0.500, 0.500, 0.500) and Br at (0.000, 0.500, 0.000).

=====

(23)
Entry from Alexandria via LeMat-Bulk: a relaxed AlSiAg2Se4 crystal (GGA-PBE).

The calculation puts the formation energy without anion corrections at -0.314 eV/atom. For the total moment, the calculation gives 0.00 Bohr magnetons per cell.

The space group is I-4 (No. 82) and the conventional cell measures 6.049, 6.049 and 11.341 Å, with angles of 90.00, 90.00 and 90.00 degrees. The asymmetric unit holds Al at (0.000, 0.000, 0.000), Si at (0.000, 0.500, 0.250), Ag at (0.000, 0.000, 0.500), Ag at (0.000, 0.500, 0.750) and Se at (0.218, 0.753, 0.125).